This record from Alexandria via LeMat-Bulk describes Ca2Mg after structural relaxation. The functional is PBE.

Cell: 15.4976 15.4976 15.4976 Å, 166.05 166.05 19.78°
With the nearest neighbours (Å) after each atom.
Positions (direct):
Mg1 0.0000 0.0000 0.0000  8 Ca 3.41, 4 Mg 3.76
Mg2 0.7500 0.2500 0.5000  8 Ca 3.41, 4 Mg 3.76
Ca1 0.4299 0.4299 0.0000  4 Mg 3.41, 4 Ca 3.76
Ca2 0.5701 0.5701 0.0000  4 Mg 3.41, 4 Ca 3.76
Ca3 0.3201 0.8201 0.5000  4 Mg 3.41, 4 Ca 3.76
Ca4 0.1799 0.6799 0.5000  4 Mg 3.41, 4 Ca 3.76

ρ ... 1.6 g/cm³
SG ... I4_1/amd (141)
Calculated formation energy ... 0.04 eV/atom